[1]
{"formula": "ThCdHg", "functional": "PBE-GGA", "state": "relaxed", "lattice_angstrom": [[4.977, 0.000, 0.000], [2.488, 4.310, 0.000], [2.488, 1.437, 4.063]], "species": ["Th", "Hg", "Cd"], "frac_coords": [[0.500, 0.500, 0.500], [0.250, 0.250, 0.250], [0.000, 0.000, 0.000]], "volume_a3_per_fu": 87.2, "spacegroup": "No. 216", "ef_ev_per_atom": -0.11}


[2]
{"formula": "Th3Cd3Hg2", "functional": "PBE-GGA", "state": "relaxed", "lattice_angstrom": [[4.891, 0.000, 0.000], [-2.445, 5.614, 0.000], [0.000, 0.000, 15.655]], "species": ["Th", "Hg", "Hg", "Th", "Th", "Cd", "Cd", "Th", "Cd", "Hg", "Cd", "Cd", "Hg", "Th", "Cd", "Th"], "frac_coords": [[0.082, 0.165, 0.892], [0.789, 0.577, 0.607], [0.789, 0.577, 0.893], [0.082, 0.165, 0.608], [0.918, 0.835, 0.108], [0.614, 0.228, 0.460], [0.614, 0.228, 0.040], [0.672, 0.344, 0.250], [0.615, 0.230, 0.750], [0.211, 0.423, 0.107], [0.385, 0.770, 0.250], [0.386, 0.772, 0.540], [0.211, 0.423, 0.393], [0.918, 0.835, 0.392], [0.386, 0.772, 0.960], [0.328, 0.656, 0.750]], "volume_a3_per_fu": 214.9, "spacegroup": "No. 63", "ef_ev_per_atom": -0.14}


[3]
{"formula": "ThCdHg", "functional": "PBE-GGA", "state": "relaxed", "lattice_angstrom": [[-3.452, 0.519, -0.301], [0.191, -0.730, -3.422], [-2.096, -12.489, 2.546]], "species": ["Cd", "Th", "Hg", "Cd", "Th", "Hg"], "frac_coords": [[0.373, 0.791, 0.684], [0.872, 0.291, 0.152], [0.873, 0.291, 0.539], [0.872, 0.291, 0.828], [0.373, 0.791, 0.360], [0.372, 0.791, 0.974]], "volume_a3_per_fu": 79.3, "spacegroup": "No. 129", "ef_ev_per_atom": -0.06}


[4]
{"formula": "Th2CdHg8", "functional": "PBE-GGA", "state": "relaxed", "lattice_angstrom": [[-3.905, 2.136, -1.963], [-2.524, -6.180, -1.702], [-0.740, 1.617, 9.256]], "species": ["Th", "Hg", "Hg", "Hg", "Hg", "Hg", "Hg", "Hg", "Th", "Cd", "Hg"], "frac_coords": [[0.208, 0.708, 0.417], [0.628, 0.405, 0.257], [0.835, 0.836, 0.670], [0.372, 0.595, 0.743], [0.165, 0.164, 0.330], [0.372, 0.150, 0.744], [0.999, 0.711, 0.998], [0.628, 0.850, 0.256], [0.792, 0.292, 0.583], [0.500, 0.000, 0.000], [0.001, 0.289, 0.002]], "volume_a3_per_fu": 282.2, "spacegroup": "No. 12", "ef_ev_per_atom": -0.12}


[5]
{"formula": "ThCd3Hg2", "functional": "PBE-GGA", "state": "relaxed", "lattice_angstrom": [[4.798, 0.000, 1.414], [1.582, 7.033, 3.477], [0.052, -0.433, 8.669]], "species": ["Cd", "Cd", "Th", "Cd", "Hg", "Th", "Cd", "Cd", "Hg", "Cd", "Hg", "Hg"], "frac_coords": [[0.382, 0.632, 0.604], [0.755, 0.913, 0.576], [0.870, 0.135, 0.125], [0.618, 0.368, 0.396], [0.497, 0.835, 0.171], [0.130, 0.865, 0.875], [0.001, 0.337, 0.661], [0.999, 0.663, 0.339], [0.240, 0.416, 0.104], [0.245, 0.087, 0.424], [0.760, 0.584, 0.896], [0.503, 0.165, 0.829]], "volume_a3_per_fu": 149.1, "spacegroup": "No. 12", "ef_ev_per_atom": -0.10}


[6]
{"formula": "Th2Cd3Hg2", "functional": "PBE-GGA", "state": "relaxed", "lattice_angstrom": [[-2.054, -2.868, -3.251], [3.318, -2.987, 4.079], [-5.934, 0.171, 3.598]], "species": ["Hg", "Cd", "Th", "Th", "Hg", "Cd", "Cd"], "frac_coords": [[0.883, 0.767, 0.356], [0.716, 0.432, 0.864], [0.600, 0.200, 0.333], [0.400, 0.800, 0.667], [0.117, 0.233, 0.644], [0.284, 0.568, 0.136], [0.000, 0.000, 0.000]], "volume_a3_per_fu": 183.0, "spacegroup": "No. 12", "ef_ev_per_atom": -0.11}


[7]
{"formula": "ThCdHg6", "functional": "PBE-GGA", "state": "relaxed", "lattice_angstrom": [[6.192, 0.000, 1.383], [2.941, 5.449, 1.383], [1.338, 0.798, 8.560]], "species": ["Hg", "Hg", "Cd", "Hg", "Hg", "Th", "Hg", "Hg"], "frac_coords": [[0.451, 0.929, 0.691], [0.549, 0.071, 0.309], [0.500, 0.500, 0.500], [0.071, 0.549, 0.309], [0.929, 0.451, 0.691], [0.000, 0.000, 0.000], [0.929, 0.929, 0.691], [0.071, 0.071, 0.309]], "volume_a3_per_fu": 275.1, "spacegroup": "No. 166", "ef_ev_per_atom": 0.24}


[8]
{"formula": "ThCd3Hg", "functional": "PBE-GGA", "state": "relaxed", "lattice_angstrom": [[4.564, 0.000, 0.000], [0.000, 9.300, 0.000], [0.000, 0.000, 11.869]], "species": ["Th", "Cd", "Cd", "Cd", "Cd", "Cd", "Th", "Cd", "Cd", "Th", "Cd", "Hg", "Hg", "Hg", "Th", "Hg", "Cd", "Cd", "Cd", "Cd"], "frac_coords": [[0.250, 0.179, 0.004], [0.250, 0.882, 0.195], [0.750, 0.410, 0.879], [0.250, 0.090, 0.379], [0.750, 0.118, 0.805], [0.250, 0.404, 0.699], [0.750, 0.821, 0.996], [0.250, 0.904, 0.801], [0.250, 0.590, 0.121], [0.250, 0.679, 0.496], [0.750, 0.618, 0.695], [0.250, 0.614, 0.880], [0.250, 0.114, 0.620], [0.750, 0.886, 0.380], [0.750, 0.321, 0.504], [0.750, 0.386, 0.120], [0.250, 0.382, 0.305], [0.750, 0.596, 0.301], [0.750, 0.910, 0.621], [0.750, 0.096, 0.199]], "volume_a3_per_fu": 125.9, "spacegroup": "No. 62", "ef_ev_per_atom": -0.08}


[9]
{"formula": "Th2Cd3Hg4", "functional": "PBE-GGA", "state": "relaxed", "lattice_angstrom": [[6.346, 0.000, 0.000], [0.000, 8.609, 0.000], [-3.173, 0.000, 8.268]], "species": ["Cd", "Cd", "Th", "Th", "Hg", "Cd", "Th", "Th", "Cd", "Hg", "Hg", "Cd", "Hg", "Cd", "Hg", "Hg", "Hg", "Hg"], "frac_coords": [[0.474, 0.250, 0.448], [0.500, 0.500, 0.000], [0.891, 0.409, 0.783], [0.109, 0.591, 0.217], [0.300, 0.250, 0.100], [0.000, 0.000, 0.000], [0.609, 0.909, 0.217], [0.391, 0.091, 0.783], [0.526, 0.750, 0.552], [0.323, 0.465, 0.646], [0.823, 0.035, 0.646], [0.974, 0.250, 0.448], [0.677, 0.535, 0.354], [0.026, 0.750, 0.552], [0.800, 0.250, 0.100], [0.700, 0.750, 0.900], [0.200, 0.750, 0.900], [0.177, 0.965, 0.354]], "volume_a3_per_fu": 225.9, "spacegroup": "No. 64", "ef_ev_per_atom": -0.11}


[10]
{"formula": "Th2CdHg", "functional": "PBE-GGA", "state": "relaxed", "lattice_angstrom": [[3.829, 0.000, 0.000], [0.000, 3.829, 0.000], [0.000, 0.000, 7.718]], "species": ["Th", "Cd", "Th", "Hg"], "frac_coords": [[0.000, 0.000, 0.751], [0.500, 0.500, 0.500], [0.000, 0.000, 0.249], [0.500, 0.500, 0.000]], "volume_a3_per_fu": 113.2, "spacegroup": "No. 123", "ef_ev_per_atom": -0.12}


[11]
{"formula": "Th3Cd5Hg2", "functional": "PBE-GGA", "state": "relaxed", "lattice_angstrom": [[-0.156, -3.966, 4.968], [-6.780, -6.773, -1.550], [6.347, -7.196, -1.476]], "species": ["Th", "Hg", "Th", "Hg", "Th", "Th", "Cd", "Cd", "Cd", "Cd", "Cd", "Cd", "Cd", "Cd", "Hg", "Th", "Hg", "Cd", "Cd", "Th"], "frac_coords": [[0.379, 0.378, 0.864], [0.637, 0.022, 0.704], [0.621, 0.622, 0.136], [0.363, 0.978, 0.296], [0.250, 0.000, 0.000], [0.879, 0.864, 0.378], [0.623, 0.242, 0.512], [0.123, 0.512, 0.242], [0.003, 0.747, 0.747], [0.503, 0.747, 0.747], [0.997, 0.253, 0.253], [0.497, 0.253, 0.253], [0.750, 0.500, 0.500], [0.250, 0.500, 0.500], [0.137, 0.704, 0.022], [0.750, 0.000, 0.000], [0.863, 0.296, 0.978], [0.377, 0.758, 0.488], [0.877, 0.488, 0.758], [0.121, 0.136, 0.622]], "volume_a3_per_fu": 267.4, "spacegroup": "No. 72", "ef_ev_per_atom": 0.00}


[12]
{"formula": "ThCdHg", "functional": "PBE-GGA", "state": "relaxed", "lattice_angstrom": [[3.410, 0.000, 0.000], [0.000, 5.096, 0.000], [0.000, -2.548, 4.413]], "species": ["Cd", "Th", "Hg"], "frac_coords": [[0.167, 0.667, 0.333], [0.667, 0.333, 0.667], [0.167, 0.000, 0.000]], "volume_a3_per_fu": 76.7, "spacegroup": "No. 187", "ef_ev_per_atom": -0.23}


[13]
{"formula": "Th3Cd2Hg6", "functional": "PBE-GGA", "state": "relaxed", "lattice_angstrom": [[-2.639, -2.021, 2.746], [3.368, -1.002, 2.500], [-2.382, 15.404, 5.662]], "species": ["Th", "Th", "Hg", "Hg", "Th", "Hg", "Hg", "Cd", "Hg", "Hg", "Cd"], "frac_coords": [[0.000, 0.000, 0.000], [0.824, 0.824, 0.649], [0.074, 0.574, 0.148], [0.273, 0.273, 0.545], [0.176, 0.176, 0.351], [0.426, 0.926, 0.852], [0.727, 0.727, 0.455], [0.363, 0.363, 0.725], [0.574, 0.074, 0.148], [0.926, 0.426, 0.852], [0.637, 0.637, 0.275]], "volume_a3_per_fu": 303.1, "spacegroup": "No. 139", "ef_ev_per_atom": 0.00}


[14]
{"formula": "ThCd6Hg12", "functional": "PBE-GGA", "state": "relaxed", "lattice_angstrom": [[-2.722, -7.346, 3.241], [4.601, -1.848, -6.877], [5.263, 3.447, 5.683]], "species": ["Cd", "Hg", "Hg", "Hg", "Cd", "Cd", "Hg", "Hg", "Hg", "Th", "Hg", "Cd", "Hg", "Hg", "Hg", "Cd", "Hg", "Hg", "Cd"], "frac_coords": [[0.173, 0.271, 0.443], [0.014, 0.157, 0.701], [0.843, 0.299, 0.986], [0.986, 0.843, 0.299], [0.729, 0.557, 0.827], [0.557, 0.827, 0.729], [0.633, 0.472, 0.152], [0.472, 0.152, 0.633], [0.157, 0.701, 0.014], [0.000, 0.000, 0.000], [0.152, 0.633, 0.472], [0.443, 0.173, 0.271], [0.367, 0.528, 0.848], [0.528, 0.848, 0.367], [0.701, 0.014, 0.157], [0.271, 0.443, 0.173], [0.848, 0.367, 0.528], [0.299, 0.986, 0.843], [0.827, 0.729, 0.557]], "volume_a3_per_fu": 505.0, "spacegroup": "No. 148", "ef_ev_per_atom": -0.01}


[15]
{"formula": "ThCd2Hg8", "functional": "PBE-GGA", "state": "relaxed", "lattice_angstrom": [[4.828, 0.000, -1.388], [-1.008, 7.482, -3.507], [-0.243, -0.812, 8.246]], "species": ["Hg", "Hg", "Hg", "Hg", "Hg", "Hg", "Hg", "Cd", "Hg", "Th", "Cd"], "frac_coords": [[0.848, 0.850, 0.696], [0.640, 0.826, 0.281], [0.357, 0.545, 0.714], [0.001, 0.314, 0.003], [0.643, 0.455, 0.286], [0.999, 0.686, 0.997], [0.152, 0.150, 0.304], [0.778, 0.276, 0.557], [0.360, 0.174, 0.719], [0.500, 0.000, 0.000], [0.222, 0.724, 0.443]], "volume_a3_per_fu": 280.5, "spacegroup": "No. 12", "ef_ev_per_atom": -0.07}


[16]
{"formula": "ThCd5Hg6", "functional": "PBE-GGA", "state": "relaxed", "lattice_angstrom": [[4.675, -0.017, -1.319], [-3.641, 7.504, -3.977], [0.038, -1.109, 9.173]], "species": ["Hg", "Hg", "Cd", "Cd", "Th", "Hg", "Hg", "Cd", "Cd", "Hg", "Cd", "Hg"], "frac_coords": [[0.778, 0.277, 0.277], [0.271, 0.109, 0.429], [0.000, 0.696, 0.304], [0.000, 0.304, 0.696], [0.000, 0.000, 0.000], [0.271, 0.429, 0.109], [0.729, 0.891, 0.571], [0.500, 0.160, 0.840], [0.500, 0.840, 0.160], [0.222, 0.723, 0.723], [0.500, 0.500, 0.500], [0.729, 0.571, 0.891]], "volume_a3_per_fu": 295.6, "spacegroup": "No. 12", "ef_ev_per_atom": -0.07}


[17]
{"formula": "ThCd5Hg8", "functional": "PBE-GGA", "state": "relaxed", "lattice_angstrom": [[7.275, 0.000, -2.562], [-3.601, 6.316, -2.575], [-0.073, 0.000, 7.712]], "species": ["Hg", "Hg", "Hg", "Hg", "Th", "Cd", "Hg", "Cd", "Cd", "Cd", "Hg", "Hg", "Hg", "Cd"], "frac_coords": [[0.941, 0.057, 0.685], [0.116, 0.745, 0.059], [0.315, 0.255, 0.372], [0.097, 0.729, 0.490], [0.250, 0.500, 0.750], [0.749, 0.636, 0.672], [0.632, 0.393, 0.903], [0.328, 0.078, 0.965], [0.035, 0.364, 0.113], [0.887, 0.922, 0.251], [0.628, 0.943, 0.884], [0.760, 0.271, 0.368], [0.510, 0.607, 0.240], [0.500, 0.000, 0.500]], "volume_a3_per_fu": 353.2, "spacegroup": "No. 82", "ef_ev_per_atom": -0.01}


[18]
{"formula": "ThCd2Hg8", "functional": "PBE-GGA", "state": "relaxed", "lattice_angstrom": [[4.473, 0.179, 0.000], [-0.345, 9.714, 0.000], [-0.172, 4.857, 6.668]], "species": ["Th", "Cd", "Hg", "Hg", "Hg", "Cd", "Hg", "Hg", "Hg", "Hg", "Hg"], "frac_coords": [[0.500, 0.000, 0.000], [0.000, 0.614, 0.772], [0.002, 0.958, 0.722], [0.500, 0.756, 0.487], [0.002, 0.681, 0.278], [0.000, 0.386, 0.228], [0.499, 0.329, 0.000], [0.998, 0.319, 0.722], [0.998, 0.042, 0.278], [0.500, 0.244, 0.513], [0.501, 0.671, 0.000]], "volume_a3_per_fu": 290.2, "spacegroup": "No. 12", "ef_ev_per_atom": -0.03}


[19]
{"formula": "ThCd3Hg4", "functional": "PBE-GGA", "state": "relaxed", "lattice_angstrom": [[4.907, 0.000, 0.000], [0.000, 8.094, 0.000], [0.000, 0.000, 9.813]], "species": ["Hg", "Hg", "Cd", "Hg", "Hg", "Cd", "Cd", "Th", "Th", "Cd", "Cd", "Hg", "Cd", "Hg", "Hg", "Hg"], "frac_coords": [[0.998, 0.237, 0.250], [0.500, 0.237, 0.000], [0.000, 0.000, 0.500], [0.998, 0.763, 0.250], [0.002, 0.763, 0.750], [0.501, 0.500, 0.750], [0.000, 0.000, 0.000], [0.000, 0.500, 0.500], [0.000, 0.500, 0.000], [0.499, 0.500, 0.250], [0.503, 0.000, 0.750], [0.500, 0.763, 0.000], [0.497, 0.000, 0.250], [0.002, 0.237, 0.750], [0.500, 0.237, 0.500], [0.500, 0.763, 0.500]], "volume_a3_per_fu": 194.9, "spacegroup": "No. 51", "ef_ev_per_atom": -0.11}


[20]
{"formula": "ThCdHg", "functional": "PBE-GGA", "state": "relaxed", "lattice_angstrom": [[-1.956, 2.181, 1.345], [-1.769, 0.075, -2.694], [-3.178, -7.577, 3.803]], "species": ["Cd", "Hg", "Th"], "frac_coords": [[0.767, 0.767, 0.534], [0.132, 0.132, 0.263], [0.951, 0.951, 0.902]], "volume_a3_per_fu": 91.0, "spacegroup": "No. 107", "ef_ev_per_atom": 0.40}


For each record above, in turn, the calculated D(E_F) values are 0.252; 1.174; 0.618; 0.449; 0.453; 0.811; 0.678; 0.492; 0.851; 0.745; 0.782; 0.657; 0.833; 0.354; 0.354; 0.346; 0.475; 0.418; 0.591; 0.945 states/eV per atom.